[1]
{
  "formula": "BeFe3Mo",
  "functional": "PBE",
  "state": "optimized geometry",
  "lattice": [[4.412, 0.000, 0.000], [0.000, 4.412, 0.000], [0.000, 0.000, 4.412]],
  "species": ["Be", "Fe", "Fe", "Fe", "Mo"],
  "frac_coords": [[0.000, 0.000, 0.000], [0.000, 0.500, 0.500], [0.500, 0.000, 0.500], [0.500, 0.500, 0.000], [0.500, 0.500, 0.500]],
  "polymorph_energy_ev_per_atom": 1.2813,
  "spacegroup": "Pm-3m (221)"
}

[2]
{
  "formula": "BeFe2Mo",
  "functional": "PBE",
  "state": "optimized geometry",
  "lattice": [[2.593, 0.000, 0.000], [0.000, 3.366, 0.000], [0.000, 0.000, 5.222]],
  "species": ["Be", "Fe", "Fe", "Mo"],
  "frac_coords": [[0.000, 0.000, 0.000], [0.000, 0.000, 0.442], [0.500, 0.500, 0.195], [0.500, 0.500, 0.718]],
  "spacegroup": "Pmm2 (25)"
}

[3]
{
  "formula": "BeFeMo2",
  "functional": "PBE",
  "state": "optimized geometry",
  "lattice": [[2.699, 0.000, 0.000], [0.000, 3.574, 0.000], [0.000, 0.000, 5.278]],
  "species": ["Be", "Fe", "Mo", "Mo"],
  "frac_coords": [[0.000, 0.000, 0.000], [0.000, 0.000, 0.500], [0.500, 0.500, 0.246], [0.500, 0.500, 0.754]],
  "spacegroup": "Pmmm (47)"
}

no.,energy relative to the elements (eV/atom),raw total energy (Ry/atom)
1,1.76,-0.4581
2,0.10,-0.5711
3,0.10,-0.6147